Here is a relaxed FePd2O crystal from the Alexandria database. Energies are from GGA+U.

M_tot in μB/f.u.: 4.11
VASP energy in eV per cell: -41.724
Calculated volume in Å³/cell: 123.8
Symmetry: No. 122

Cell lengths 5.9374, 5.9374, 5.9374 Å; angles 96.34, 96.34, 141.17 degrees
Last column: nearest neighbours and their distance in Å.
Sites, in units of the cell vectors:
Fe1 0.0000 0.0000 0.0000  2 O 1.97
Fe2 0.7500 0.2500 0.5000  2 O 1.97
Pd1 0.2442 0.6250 0.1192  2 O 2.29
Pd2 0.3750 0.4942 0.6192  2 O 2.29
Pd3 0.5058 0.1250 0.8808  2 O 2.29
Pd4 0.8750 0.7558 0.3808  2 O 2.29
O1 0.2500 0.7500 0.5000  2 Fe 1.97
O2 0.5000 0.5000 0.0000  2 Fe 1.97